(1)
Density functional theory data (PBE) for Ca2AcDyS4 after structural relaxation.

Total magnetization: 0.0 μB per cell
Uncorrected formation energy: -2.0128 eV/atom
Space group: P2/m (10)
DOS at the Fermi energy: 3.51 states/eV/cell

a = 4.0562 Å, b = 7.0514 Å, c = 7.1051 Å
α = 109.14°, β = 90.00°, γ = 90.00°
Element x y z (fractional)
Ca: 0.5000 0.0000 0.5000
Ca: 0.0000 0.5000 0.5000
Ac: 0.5000 0.5000 0.0000
Dy: 0.0000 0.0000 0.0000
S: 0.5000 0.2364 0.2509
S: 0.5000 0.7636 0.7491
S: 0.0000 0.2310 0.7382
S: 0.0000 0.7690 0.2618


(2)
Density functional theory data (PBE) for CaAcDy4S8 after structural relaxation.

Total magnetization: 0.0 μB per cell
Uncorrected formation energy: -1.9864 eV/atom
Space group: R3m (160)
DOS at the Fermi energy: 3.49 states/eV/cell

a = 8.1218 Å, b = 8.1218 Å, c = 8.3086 Å
α = 60.74°, β = 60.74°, γ = 60.00°
Element x y z (fractional)
Ca: 0.3734 0.3734 0.8797
Ac: 0.0010 0.0010 0.9970
Dy: 0.6261 0.6261 0.1216
Dy: 0.0017 0.4945 0.5021
Dy: 0.4945 0.0017 0.5021
Dy: 0.0017 0.0017 0.5021
S: 0.2515 0.7765 0.7205
S: 0.7765 0.2515 0.7205
S: 0.2515 0.2515 0.7205
S: 0.2393 0.2393 0.2821
S: 0.7457 0.2334 0.2753
S: 0.2334 0.7457 0.2753
S: 0.7457 0.7457 0.2753
S: 0.7581 0.7581 0.7258


(3)
Density functional theory data (PBE) for Ca2AcDySe4 after structural relaxation.

Total magnetization: 0.0 μB per cell
Uncorrected formation energy: -1.8651 eV/atom
Space group: P2/m (10)
DOS at the Fermi energy: 3.62 states/eV/cell

a = 4.2206 Å, b = 7.3339 Å, c = 7.4077 Å
α = 109.11°, β = 90.00°, γ = 90.00°
Element x y z (fractional)
Ca: 0.5000 0.0000 0.5000
Ca: 0.0000 0.5000 0.5000
Ac: 0.5000 0.5000 0.0000
Dy: 0.0000 0.0000 0.0000
Se: 0.5000 0.2372 0.2516
Se: 0.5000 0.7628 0.7484
Se: 0.0000 0.2316 0.7378
Se: 0.0000 0.7684 0.2622


(4)
Density functional theory data (PBE) for CaAcSmDy after structural relaxation.

Raw total energy: -14.96 eV per cell
Total magnetization: 0.0 μB per cell
Space group: F-43m (216)
DOS at the Fermi energy: 6.60 states/eV/cell

a = 5.9621 Å, b = 5.9621 Å, c = 5.9621 Å
α = 60.00°, β = 60.00°, γ = 60.00°
Element x y z (fractional)
Ac: 0.0000 0.0000 0.0000
Ca: 0.2500 0.2500 0.2500
Sm: 0.5000 0.5000 0.5000
Dy: 0.7500 0.7500 0.7500


(5)
Density functional theory data (PBE) for Ca2AcDyTe4 after structural relaxation.

Total magnetization: 0.0 μB per cell
Uncorrected formation energy: -1.4785 eV/atom
Space group: P2/m (10)
DOS at the Fermi energy: 3.86 states/eV/cell

a = 4.4981 Å, b = 7.8164 Å, c = 7.9211 Å
α = 109.08°, β = 90.00°, γ = 90.00°
Element x y z (fractional)
Ca: 0.5000 0.0000 0.5000
Ca: 0.0000 0.5000 0.5000
Ac: 0.0000 0.0000 0.0000
Dy: 0.5000 0.5000 0.0000
Te: 0.5000 0.2673 0.2610
Te: 0.5000 0.7327 0.7390
Te: 0.0000 0.2623 0.7488
Te: 0.0000 0.7377 0.2512


(6)
Density functional theory data (PBE) for Ca2Ac3DyTe6 after structural relaxation.

Total magnetization: 0.0 μB per cell
Uncorrected formation energy: -1.4863 eV/atom
Space group: C2/m (12)
DOS at the Fermi energy: 6.19 states/eV/cell

a = 7.8686 Å, b = 7.8686 Å, c = 8.1096 Å
α = 99.31°, β = 99.31°, γ = 120.06°
Element x y z (fractional)
Ca: 0.3340 0.6660 0.0000
Ca: 0.6660 0.3340 0.0000
Ac: 0.1714 0.8286 0.5000
Ac: 0.8286 0.1714 0.5000
Ac: 0.5000 0.5000 0.5000
Dy: 0.0000 0.0000 0.0000
Te: 0.9250 0.5960 0.7751
Te: 0.7488 0.7488 0.2321
Te: 0.0750 0.4040 0.2249
Te: 0.5960 0.9250 0.7751
Te: 0.2512 0.2512 0.7679
Te: 0.4040 0.0750 0.2249


(7)
Density functional theory data (PBE) for CaAc2DyTe4 after structural relaxation.

Total magnetization: 0.0 μB per cell
Uncorrected formation energy: -1.4582 eV/atom
Space group: P2/m (10)
DOS at the Fermi energy: 4.26 states/eV/cell

a = 4.5182 Å, b = 7.8576 Å, c = 8.0685 Å
α = 108.69°, β = 90.00°, γ = 90.00°
Element x y z (fractional)
Ca: 0.5000 0.5000 0.0000
Ac: 0.5000 0.0000 0.5000
Ac: 0.0000 0.5000 0.5000
Dy: 0.0000 0.0000 0.0000
Te: 0.5000 0.2398 0.2247
Te: 0.5000 0.7602 0.7753
Te: 0.0000 0.2550 0.7733
Te: 0.0000 0.7450 0.2267


(8)
Density functional theory data (PBE) for CaAc3Dy3Te8 after structural relaxation.

Total magnetization: 0.0 μB per cell
Uncorrected formation energy: -1.4697 eV/atom
Space group: R-3m (166)
DOS at the Fermi energy: 3.75 states/eV/cell

a = 8.9748 Å, b = 8.9747 Å, c = 9.1557 Å
α = 119.35°, β = 90.00°, γ = 120.00°
Element x y z (fractional)
Ca: 0.0000 0.0000 0.5000
Ac: 0.0000 0.0000 0.0000
Ac: 0.0000 0.5000 0.0000
Ac: 0.5000 0.5000 0.0000
Dy: 0.5000 0.0000 0.5000
Dy: 0.5000 0.5000 0.5000
Dy: 0.0000 0.5000 0.5000
Te: 0.2583 0.5167 0.2755
Te: 0.7417 0.4833 0.7245
Te: 0.7494 0.4988 0.2665
Te: 0.2506 0.5012 0.7335
Te: 0.7498 0.0170 0.2660
Te: 0.2502 0.9830 0.7340
Te: 0.2672 0.0170 0.2660
Te: 0.7328 0.9830 0.7340


(9)
Density functional theory data (PBE) for CaAcDyTl after structural relaxation.

Raw total energy: -12.80 eV per cell
Total magnetization: 0.8 μB per cell
Space group: F-43m (216)
DOS at the Fermi energy: 6.70 states/eV/cell

a = 5.7567 Å, b = 5.7567 Å, c = 5.7567 Å
α = 60.00°, β = 60.00°, γ = 60.00°
Site moments in Bohr magnetons follow the coordinates.
Element x y z (fractional)
Ac: 0.5000 0.5000 0.5000  0.14
Ca: 0.7500 0.7500 0.7500  0.05
Tl: 0.0000 0.0000 0.0000  0.00
Dy: 0.2500 0.2500 0.2500  0.22


(10)
Density functional theory data (PBE) for CaAcDy2Tl4 after structural relaxation.

Raw total energy: -27.51 eV per cell
Total magnetization: 0.0 μB per cell
Space group: R-3m (166)
DOS at the Fermi energy: 5.66 states/eV/cell

a = 5.5061 Å, b = 5.5061 Å, c = 9.6947 Å
α = 73.50°, β = 73.50°, γ = 60.00°
Element x y z (fractional)
Ca: 0.5000 0.5000 0.5000
Ac: 0.0000 0.0000 0.0000
Dy: 0.7538 0.7538 0.7385
Dy: 0.2462 0.2462 0.2615
Tl: 0.3786 0.3786 0.8643
Tl: 0.8724 0.8724 0.3829
Tl: 0.1276 0.1276 0.6171
Tl: 0.6214 0.6214 0.1357


(11)
Density functional theory data (PBE) for Ca2AcDyTl4 after structural relaxation.

Raw total energy: -25.19 eV per cell
Total magnetization: 0.0 μB per cell
Space group: R-3m (166)
DOS at the Fermi energy: 6.62 states/eV/cell

a = 5.5417 Å, b = 5.5417 Å, c = 9.7524 Å
α = 73.49°, β = 73.49°, γ = 60.00°
Element x y z (fractional)
Ca: 0.7523 0.7523 0.7430
Ca: 0.2477 0.2477 0.2570
Ac: 0.0000 0.0000 0.0000
Dy: 0.5000 0.5000 0.5000
Tl: 0.3815 0.3815 0.8555
Tl: 0.8718 0.8718 0.3847
Tl: 0.1282 0.1282 0.6153
Tl: 0.6185 0.6185 0.1445


(12)
Density functional theory data (PBE) for CaAcDyTm after structural relaxation.

Raw total energy: -14.67 eV per cell
Total magnetization: 0.0 μB per cell
Space group: F-43m (216)
DOS at the Fermi energy: 6.29 states/eV/cell

a = 5.9008 Å, b = 5.9008 Å, c = 5.9008 Å
α = 60.00°, β = 60.00°, γ = 60.00°
Element x y z (fractional)
Ac: 0.5000 0.5000 0.5000
Tm: 0.7500 0.7500 0.7500
Ca: 0.2500 0.2500 0.2500
Dy: 0.0000 0.0000 0.0000


total magnetization of number 1 (Ca2AcDyS4)?
0.0 μB per cell